# 1
First-principles (PBE) data for a relaxed structure of TmMg2Zn10, as listed in Alexandria.

Output
ρ	6.6	g/cm3
calculated volume	16.817	A^3/atom
uncorrected energy	-0.1243	Ry/atom
E_form	-0.122	eV per atom

Unit cell a=5.5241 b=6.7924 c=6.9501 alpha=80.70 beta=66.58 gamma=66.01
Last column: nearest neighbours and their distance in Å.
Fractional coordinates of all 13 atoms:
Mg 0.5000 0.0000 0.5000  8 Zn 2.69-2.81, 2 Mg 2.76
Zn 0.0081 0.6386 0.3452  4 Zn 2.62-2.75, 2 Mg 2.81
Zn 0.7132 0.7816 0.7920  5 Zn 2.59-2.75, 2 Mg 2.69
Zn 0.5000 0.5000 0.0000  10 Zn 2.59-2.76
Zn 0.5052 0.7816 0.2080  5 Zn 2.59-2.75, 2 Mg 2.69
Zn 0.6467 0.3614 0.3452  4 Zn 2.62-2.75, 2 Mg 2.81
Mg 0.0000 0.0000 0.5000  8 Zn 2.69-2.81, 2 Mg 2.76
Tm 0.0000 0.0000 0.0000  16 Zn 3.14-3.40, 4 Mg 3.48
Zn 0.0000 0.5000 0.0000  10 Zn 2.59-2.76
Zn 0.4948 0.2184 0.7920  5 Zn 2.59-2.75, 2 Mg 2.69
Zn 0.3533 0.6386 0.6548  4 Zn 2.62-2.75, 2 Mg 2.81
Zn 0.9919 0.3614 0.6548  4 Zn 2.62-2.75, 2 Mg 2.81
Zn 0.2868 0.2184 0.2080  5 Zn 2.59-2.75, 2 Mg 2.69

***

# 2
First-principles (PBE) data for a relaxed structure of CeMg4Pt5, as listed in Alexandria.

Output
ρ	11.7	g/cm3
calculated volume	17.216	A^3/atom
uncorrected energy	-0.3769	Ry/atom
E_form	-0.876	eV per atom

Unit cell a=3.2634 b=3.2634 c=16.1654 alpha=90.00 beta=90.00 gamma=90.00
Last column: nearest neighbours and their distance in Å.
Fractional coordinates of all 10 atoms:
Mg 0.0000 0.0000 0.4061  8 Pt 2.76, 2 Mg 3.03-3.04
Pt 0.5000 0.5000 0.6881  8 Mg 2.76, 2 Pt 3.04-3.07
Mg 0.0000 0.0000 0.5939  8 Pt 2.76, 2 Mg 3.03-3.04
Pt 0.5000 0.5000 0.8779  4 Mg 2.78, 4 Ce 3.04, 1 Pt 3.07
Ce 0.0000 0.0000 0.0000  8 Pt 3.04, 4 Ce 3.26
Mg 0.0000 0.0000 0.2184  8 Pt 2.76-2.78, 1 Mg 3.03
Mg 0.0000 0.0000 0.7816  8 Pt 2.76-2.78, 1 Mg 3.03
Pt 0.5000 0.5000 0.3119  8 Mg 2.76, 2 Pt 3.04-3.07
Pt 0.5000 0.5000 0.5000  8 Mg 2.76, 2 Pt 3.04
Pt 0.5000 0.5000 0.1221  4 Mg 2.78, 4 Ce 3.04, 1 Pt 3.07

***

# 3
First-principles (PBE) data for a relaxed structure of CePrBiO6, as listed in Alexandria.

Output
E_form (uncorrected)	-2.247	eV per atom
ρ	6.8	g/cm3
calculated volume	15.885	A^3/atom
uncorrected energy	-0.5273	Ry/atom

Unit cell a=4.8702 b=5.8220 c=5.8220 alpha=120.00 beta=90.00 gamma=90.00
Last column: nearest neighbours and their distance in Å.
Fractional coordinates of all 9 atoms:
O 0.7420 0.3028 0.9805  1 Bi 2.17, 1 Ce 2.30, 1 Pr 2.40
O 0.2580 0.0195 0.6972  1 Bi 2.17, 1 Ce 2.30, 1 Pr 2.40
Bi 0.5000 0.0000 0.0000  6 O 2.17
O 0.2580 0.6777 0.9805  1 Bi 2.17, 1 Ce 2.30, 1 Pr 2.40
Ce 0.0000 0.3333 0.6667  6 O 2.30
O 0.7420 0.6777 0.6972  1 Bi 2.17, 1 Ce 2.30, 1 Pr 2.40
Pr 0.5000 0.6667 0.3333  6 O 2.40
O 0.7420 0.0195 0.3223  1 Bi 2.17, 1 Ce 2.30, 1 Pr 2.40
O 0.2580 0.3028 0.3223  1 Bi 2.17, 1 Ce 2.30, 1 Pr 2.40

***

# 4
First-principles (PBE) data for a relaxed structure of BeAsAu, as listed in Alexandria.

Output
ρ	8.0	g/cm3
calculated volume	19.321	A^3/atom
uncorrected energy	-0.2851	Ry/atom
E_form	0.006	eV per atom

Unit cell a=3.9656 b=8.0572 c=4.2430 alpha=80.76 beta=117.92 gamma=104.30
Last column: nearest neighbours and their distance in Å.
Fractional coordinates of all 6 atoms:
Be 0.0117 0.4531 0.0040  2 As 2.29-2.56, 3 Au 2.37-2.47
Au 0.7246 0.5065 0.3753  4 Be 2.37-2.58, 3 As 2.53-2.58
Be 0.6752 0.1889 0.6015  3 As 2.32-2.55, 2 Au 2.36-2.58
Au 0.7077 0.9222 0.9281  1 Be 2.36, 2 As 2.49-2.50
As 0.4621 0.6225 0.7331  4 Au 2.49-2.58, 2 Be 2.56-2.57
As 0.0130 0.1847 0.2820  4 Be 2.29-2.55, 1 Au 2.50